# KZr2Al GGA-PBEsol optimized geometry
data_KZr2Al
_chemical_formula_sum 'K2 Zr4 Al2'
_symmetry_space_group_name_H-M 'C m m m'
_symmetry_Int_Tables_number 65
_symmetry_space_group_name_Hall '-C 2 2'
_cell_length_a 6.3887
_cell_length_b 10.1137
_cell_length_c 2.8532
_cell_angle_alpha 90.00
_cell_angle_beta 90.00
_cell_angle_gamma 90.00
loop_
_atom_site_label
_atom_site_type_symbol
_atom_site_fract_x
_atom_site_fract_y
_atom_site_fract_z
_atom_site_occupancy
K1 K 0.0000 0.0000 0.0000 1
Zr1 Zr 0.2500 0.2500 0.5000 1
Al1 Al 0.0000 0.5000 0.0000 1
# - V (A^3/atom) = 23.04
# - formation enthalpy at 0 K (eV/atom) = 0.681
# - final energy (eV/atom) = -5.17
# - D(E_F) (states/eV/cell) = 7.697
# - crystal system = orthorhombic